(1)
## Nd5PuN6 (PBE)

Data for a geometry-optimized Nd5PuN6 structure.

a = 6.257 Å, b = 6.260 Å, c = 6.253 Å
α = 59.97°, β = 80.37°, γ = 70.47°
Atoms (fractional coordinates):
Nd: 0.000 0.334 0.333
Nd: 0.500 0.166 0.669
Nd: 0.500 0.834 0.331
Nd: 0.000 0.666 0.667
Nd: 0.500 0.500 0.000
N: 0.237 0.610 0.311
N: 0.237 0.921 0.689
N: 0.241 0.235 0.000
N: 0.759 0.765 0.000
N: 0.763 0.079 0.311
N: 0.763 0.390 0.689
Pu: 0.000 0.000 0.000

* raw total energy: -104.26 eV for the cell shown
* density of states at the Fermi level: 0.615 states/eV per atom
* M_tot: 4.136 μB per cell
* calculated volume: 200 Å³/cell
* uncorrected formation energy: -1.345 eV per atom
* SG: C2/m

(2)
## PaAlSi2Ir5 (PBE)

Data for a geometry-optimized PaAlSi2Ir5 structure.

a = 3.990 Å, b = 3.990 Å, c = 10.257 Å
α = 90.00°, β = 90.00°, γ = 90.00°
Atoms (fractional coordinates):
Ir: 0.500 0.500 0.500
Ir: 0.500 0.000 0.848
Ir: 0.000 0.500 0.152
Ir: 0.000 0.500 0.848
Ir: 0.500 0.000 0.152
Al: 0.000 0.000 0.000
Pa: 0.000 0.000 0.500
Si: 0.500 0.500 0.730
Si: 0.500 0.500 0.270

* raw total energy: -72.65 eV for the cell shown
* density of states at the Fermi level: 0.829 states/eV per atom
* M_tot: 0.000 μB per cell
* calculated volume: 163 Å³/cell
* uncorrected formation energy: -0.474 eV per atom
* SG: P4/mmm

(3)
## TaHgPt2 (PBE)

Data for a geometry-optimized TaHgPt2 structure.

a = 4.117 Å, b = 4.113 Å, c = 4.104 Å
α = 90.00°, β = 90.00°, γ = 90.00°
Atoms (fractional coordinates):
Ta: 0.500 0.000 0.500
Hg: 0.000 0.500 0.500
Pt: 0.000 0.000 0.000
Pt: 0.500 0.500 0.000

* raw total energy: -24.19 eV for the cell shown
* density of states at the Fermi level: 0.964 states/eV per atom
* M_tot: 0.000 μB per cell
* calculated volume: 69 Å³/cell
* energy relative to the elements: 0.0124 eV per atom
* SG: P4/mmm